[1]
Ho3Pa5P8 | GGA-PBE | optimized geometry

Cell lengths 7.9324, 7.9324, 7.9391 Å; angles 60.03, 60.03, 60.00 degrees
Fractional coordinates of all 16 atoms:
P 0.2500 0.7502 0.7498
P 0.7500 0.2498 0.2502
P 0.2498 0.7500 0.2502
P 0.2500 0.2500 0.7498
P 0.7500 0.7500 0.2502
P 0.2510 0.2510 0.2471
P 0.7502 0.2500 0.7498
P 0.7490 0.7490 0.7529
Ho 0.0000 0.0000 0.5000
Ho 0.5000 0.0000 0.5000
Ho 0.0000 0.5000 0.5000
Pa 0.5000 0.5000 0.5000
Pa 0.5000 0.0000 0.0000
Pa 0.0000 0.0000 0.0000
Pa 0.0000 0.5000 0.0000
Pa 0.5000 0.5000 0.0000

Properties
- space-group type = No. 166
- calculated formation energy (eV per atom) = -1.42

---

[2]
AcTb2Sm5 | GGA-PBE | optimized geometry

Cell lengths 5.1499, 7.3228, 14.6500 Å; angles 90.00, 90.00, 90.00 degrees
Fractional coordinates of all 16 atoms:
Ac 0.0000 0.5000 0.0000
Ac 0.0000 0.0000 0.5000
Tb 0.5000 0.7483 0.3726
Tb 0.5000 0.2483 0.1274
Tb 0.5000 0.7517 0.8726
Tb 0.5000 0.2517 0.6274
Sm 0.5000 0.2460 0.8724
Sm 0.5000 0.2540 0.3724
Sm 0.0000 0.5000 0.5000
Sm 0.0000 0.0000 0.0000
Sm 0.0000 0.5015 0.2529
Sm 0.5000 0.7540 0.1276
Sm 0.5000 0.7460 0.6276
Sm 0.0000 0.0015 0.2471
Sm 0.0000 0.4985 0.7471
Sm 0.0000 0.9985 0.7529

Properties
- space-group type = No. 55
- calculated formation energy (eV per atom) = 0.03

---

[3]
DyScTe2 | GGA-PBE | optimized geometry

Cell lengths 3.7212, 5.2491, 5.2491 Å; angles 90.00, 90.00, 90.00 degrees
Site moments in Bohr magnetons follow the coordinates.
Fractional coordinates of all 4 atoms:
Te 0.0000 0.5000 0.0000  -0.02
Te 0.0000 0.0000 0.5000  -0.02
Sc 0.5000 0.5000 0.5000  0.53
Dy 0.5000 0.0000 0.0000  0.34

Properties
- space-group type = No. 123
- ΔE_f (raw) (eV/atom) = -1.0405
- polymorph energy (0 for the lowest one) (meV/atom) = 196

---

[4]
BeNbInC2 | GGA-PBE | optimized geometry

Cell lengths 4.2170, 6.1483, 4.2170 Å; angles 90.00, 90.00, 90.00 degrees
Site moments in Bohr magnetons follow the coordinates.
Fractional coordinates of all 5 atoms:
In 0.0000 0.0000 0.0000  0.03
Nb 0.0000 0.5000 0.0000  1.85
Be 0.5000 0.5000 0.5000  0.05
C 0.5000 0.0000 0.0000  -0.18
C 0.0000 0.0000 0.5000  -0.13

Properties
- space-group type = No. 123
- calculated formation energy (eV per atom) = 3.01

---

Copy entry 4 word for word.
BeNbInC2 | GGA-PBE | optimized geometry

Cell lengths 4.2170, 6.1483, 4.2170 Å; angles 90.00, 90.00, 90.00 degrees
Site moments in Bohr magnetons follow the coordinates.
Fractional coordinates of all 5 atoms:
In 0.0000 0.0000 0.0000  0.03
Nb 0.0000 0.5000 0.0000  1.85
Be 0.5000 0.5000 0.5000  0.05
C 0.5000 0.0000 0.0000  -0.18
C 0.0000 0.0000 0.5000  -0.13

Properties
- space-group type = No. 123
- calculated formation energy (eV per atom) = 3.01